A geometry-optimized MnCo2TeO6 structure. Source: the Alexandria database, functional GGA+U.

abc: 5.2794 5.2794 5.3306
angles: 60.32 60.32 60.00
Closest atoms and distances in Å follow each position.
Positions (direct):
Te: 0.3033 0.3033 0.0901  6 O 2.12-2.19
O: 0.8660 0.6654 0.2244  2 Co 1.93-1.94
O: 0.3714 0.7204 0.7467  2 Co 1.98-2.00, 1 Te 2.12, 1 Mn 2.17
O: 0.7204 0.1615 0.7467  2 Co 1.98-2.00, 1 Te 2.12, 1 Mn 2.17
O: 0.1615 0.3714 0.7467  2 Co 1.98-2.00, 1 Te 2.12, 1 Mn 2.17
O: 0.2442 0.8660 0.2243  2 Co 1.93-1.94
O: 0.6655 0.2442 0.2244  2 Co 1.93-1.94
Co: 0.0143 0.0143 0.9571  6 O 1.94-1.98
Co: 0.5189 0.5189 0.4434  6 O 1.93-2.00
Mn: 0.7961 0.7962 0.6115  6 O 2.17-2.30

The density is 6.24 g/cm³. Its excess energy over the best structure of this formula in the dataset is 192 meV per atom. As for the total moment: 4.99 μB per cell. As for the energy: -6.065 eV/atom.